The following is a DFT calculation (meta-GGA SCAN) of a PBEsol-optimized structure of Li2ZnTc.

## Properties
The space-group type is P2/m.

Lattice parameters (Å, degrees): 2.442 4.599 4.835 90.00 93.05 90.00
Positions (direct):
Li 0.818 0.000 0.767
Li 0.182 0.000 0.233
Tc 0.500 0.500 0.000
Zn 0.000 0.500 0.500

=====

The following is a DFT calculation (meta-GGA SCAN) of a PBEsol-optimized structure of Ca2ScOs.

## Properties
The space-group type is Immm.

Lattice parameters (Å, degrees): 3.258 4.266 8.413 104.68 101.16 90.00
Positions (direct):
Sc 0.000 0.500 0.000
Ca 0.845 0.845 0.690
Ca 0.155 0.155 0.310
Os 0.500 0.000 0.000

=====

The following is a DFT calculation (meta-GGA SCAN) of a PBEsol-optimized structure of TlHgW2.

## Properties
The space-group type is I-4m2.

Lattice parameters (Å, degrees): 4.149 4.149 5.078 114.11 114.11 90.00
Positions (direct):
Hg 0.500 0.500 0.000
Tl 0.250 0.750 0.500
W 0.000 0.000 0.000
W 0.750 0.250 0.500

=====

no.,formation energy from the elements (eV per atom),uncorrected energy (eV/cell)
1,0.070,-53.076
2,0.031,-105.319
3,1.135,-275.360